Record 1
Compound: Tm2BeGa3Pt4
Source: Alexandria via LeMat-Bulk
Functional: PBE-GGA
Structure: relaxed

Values from the calculation:
Energy of formation from the pure elements (eV per atom): -0.885
E_tot (eV per cell): -54.768

a b c (Å): 4.030 4.030 10.939
angles (deg): 90.00 90.00 90.00
Space group P-4m2 (No. 115)
One atom of each set of equivalent atoms:
1 Tm 0.000 0.500 0.236 x2
2 Be 0.500 0.500 0.000 x1
3 Ga 0.000 0.000 0.000 x1
4 Ga 0.000 0.500 0.640 x2
5 Pt 0.000 0.000 0.500 x1
6 Pt 0.000 0.500 0.866 x2
7 Pt 0.500 0.500 0.500 x1


Record 2
Compound: Ca2Ac2PdAu2
Source: Alexandria via LeMat-Bulk
Functional: PBE-GGA
Structure: relaxed

Values from the calculation:
Energy of formation from the pure elements (eV per atom): -0.683
E_tot (eV per cell): -57.501

a b c (Å): 15.059 4.223 8.075
angles (deg): 90.00 118.26 90.00
Space group C2/m (No. 12)
One atom of each set of equivalent atoms:
1 Ca 0.214 0.000 0.284 x4
2 Ac 0.040 0.500 0.774 x4
3 Pd 0.000 0.000 0.000 x2
4 Au 0.116 0.000 0.553 x4


| no. | total magnetization (μB per cell) |
| --- | --- |
| 1 | 0.0 |
| 2 | 0.0 |